No. 1
Below is a geometry-optimized Na6Cd7 structure, with properties calculated at the PBE level.

Its formation energy is -1.45 eV/f.u.

It has space group R-3m (No. 166, hexagonal axes), with a = 6.0120 Å, b = 6.0120 Å, c = 32.9595 Å, α = 90.00°, β = 90.00° and γ = 120.00°. The asymmetric unit holds Na at (0.0000, 0.0000, 0.0499), Na at (0.0000, 0.0000, 0.1516), Na at (0.0000, 0.0000, 0.3334), Cd at (0.0000, 0.0000, 0.5000) and Cd at (0.0034, 0.5017, 0.9099).

---

No. 2
Below is a geometry-optimized NaLi2AgBr structure, with properties calculated at the PBE level.

The uncorrected formation energy comes out at -0.21 eV per atom.

It has space group P4/mmm (No. 123), with a = 4.7810 Å, b = 4.7810 Å, c = 6.8247 Å, α = 90.00°, β = 90.00° and γ = 90.00°. The asymmetric unit holds Na at (0.0000, 0.0000, 0.0000), Li at (0.0000, 0.5000, 0.5000), Ag at (0.5000, 0.5000, 0.0000) and Br at (0.5000, 0.5000, 0.5000).

---

Values for size of the total moment, μB/atom, ordered as above
0.00, 0.14